# 1
## Co2SiSn2 (PBE)

Data for Co2SiSn2 after structural relaxation.

```
10
Lattice="6.3159 0.0000 0.0000 0.0000 6.3159 0.0000 0.0000 0.0000 3.9650" Properties=species:S:1:pos:R:3 pbc="T T T"
Co 2.1850 5.3430 0.0000
Co 4.1309 0.9730 0.0000
Co 0.9730 2.1850 0.0000
Co 5.3430 4.1309 0.0000
Si 3.1580 3.1580 0.0000
Si 0.0000 0.0000 0.0000
Sn 1.0230 4.1809 1.9825
Sn 4.1809 5.2930 1.9825
Sn 2.1350 1.0230 1.9825
Sn 5.2930 2.1350 1.9825
```

## Properties
Excess energy over the best structure of this formula in the dataset in meV per atom: 0
Total magnetic moment in μB per atom: 0.000
Total DFT energy (no corrections) in eV per cell: -54.063
Space group: No. 127
DOS at the Fermi energy in states/eV per atom: 0.93
Formation energy without anion corrections in eV/atom: 0.12

# 2
## BaSn6Hg12 (PBE)

Data for BaSn6Hg12 after structural relaxation.

```
19
Lattice="4.9248 0.0000 1.5788 -3.3565 9.7296 4.8229 -1.7881 0.0000 11.2247" Properties=species:S:1:pos:R:3 pbc="T T T"
Hg 0.7503 1.9611 9.8544
Hg -0.7445 3.4688 2.6469
Hg -0.9701 7.7684 7.7720
Hg -1.2519 6.9479 4.8061
Hg -1.3848 4.1141 9.6421
Hg 0.1375 9.0843 10.5405
Hg 1.0676 0.8206 3.2178
Hg 0.5248 6.2607 14.9795
Hg -0.3573 0.6453 7.0859
Hg 1.0322 2.7817 12.8203
Hg 1.1650 5.6154 7.9843
Hg -1.2873 8.9090 14.4087
Sn 1.6610 6.5120 10.8506
Sn 0.3994 4.4764 5.3104
Sn -0.6192 5.2532 12.3161
Sn -1.8807 3.2176 6.7759
Sn 2.0546 2.0356 5.7945
Sn -2.2743 7.6940 11.8320
Ba 0.0000 0.0000 0.0000
```

## Properties
Excess energy over the best structure of this formula in the dataset in meV per atom: 0
Total magnetic moment in μB per atom: 0.000
Total DFT energy (no corrections) in eV per cell: -30.615
Space group: No. 148
DOS at the Fermi energy in states/eV per atom: 0.29
Formation energy in eV/atom: -0.055